[1]
A geometry-optimized SnSI3 structure, computed with PBE.

Lattice parameters (Å, degrees): 6.0168 6.0168 6.0168 90.00 90.00 90.00
With the nearest neighbours (Å) after each atom.
Atoms (fractional coordinates):
I 0.5000 0.0000 0.0000  2 Sn 3.01
I 0.0000 0.5000 0.0000  2 Sn 3.01
I 0.0000 0.0000 0.5000  2 Sn 3.01
S 0.5000 0.5000 0.5000  12 I 4.25
Sn 0.0000 0.0000 0.0000  6 I 3.01

Summary:
Energy above the lowest structure with this stoichiometry (kJ/mol of formula units): 40.1
Volume (Å³/f.u.): 217.8
Formation energy from raw total energies (kJ/mol of formula units): 178

***

[2]
A geometry-optimized MoIr2 structure, computed with PBE.

Lattice parameters (Å, degrees): 4.8166 4.4042 8.3885 90.00 90.00 90.00
With the nearest neighbours (Å) after each atom.
Atoms (fractional coordinates):
Mo 0.1695 0.2500 0.8415  10 Ir 2.71-2.82, 2 Mo 2.86
Mo 0.6695 0.2500 0.6585  10 Ir 2.71-2.82, 2 Mo 2.86
Mo 0.3305 0.7500 0.3415  10 Ir 2.71-2.82, 2 Mo 2.86
Mo 0.8305 0.7500 0.1585  10 Ir 2.71-2.82, 2 Mo 2.86
Ir 0.6658 0.2500 0.9948  5 Mo 2.71-2.82, 7 Ir 2.72-2.85
Ir 0.8402 0.7500 0.8293  5 Mo 2.72-2.76, 7 Ir 2.74-2.85
Ir 0.1658 0.2500 0.5052  5 Mo 2.71-2.82, 7 Ir 2.72-2.85
Ir 0.3342 0.7500 0.0052  5 Mo 2.71-2.82, 7 Ir 2.72-2.85
Ir 0.3402 0.7500 0.6707  5 Mo 2.72-2.76, 7 Ir 2.74-2.85
Ir 0.8342 0.7500 0.4948  5 Mo 2.71-2.82, 7 Ir 2.72-2.85
Ir 0.6598 0.2500 0.3293  5 Mo 2.72-2.76, 7 Ir 2.74-2.85
Ir 0.1598 0.2500 0.1707  5 Mo 2.72-2.76, 7 Ir 2.74-2.85

Summary:
Calculated formation energy (eV per atom): -0.339
Volume (Å³/f.u.): 44.5

***

[3]
A geometry-optimized Hg2MoAs structure, computed with PBE.

Lattice parameters (Å, degrees): 2.8970 2.8970 9.5139 90.00 90.00 90.00
With the nearest neighbours (Å) after each atom.
Atoms (fractional coordinates):
Mo 0.5000 0.5000 0.2500  4 Mo 2.90, 8 Hg 3.00
Hg 0.0000 0.0000 0.0190  4 Hg 2.90, 4 Mo 3.00
Hg 0.0000 0.0000 0.4810  4 Hg 2.90, 4 Mo 3.00
As 0.5000 0.5000 0.7500  4 As 2.90

Summary:
Calculated formation energy (eV per atom): 0.606
Volume (Å³/f.u.): 79.8

***

[4]
A geometry-optimized LaGeRh structure, computed with PBE.

Lattice parameters (Å, degrees): 6.4031 6.1747 6.9832 106.66 90.00 90.00
With the nearest neighbours (Å) after each atom.
Atoms (fractional coordinates):
La 0.3622 0.8032 0.5873  3 Rh 2.90-3.15
La 0.1378 0.3032 0.0873  3 Rh 2.90-3.15
La 0.8622 0.6968 0.9127  3 Rh 2.90-3.15
La 0.6378 0.1968 0.4127  3 Rh 2.90-3.15
Ge 0.8770 0.6789 0.4350  3 Rh 2.43-2.53
Ge 0.3770 0.8211 0.0650  3 Rh 2.43-2.53
Ge 0.1230 0.3211 0.5650  3 Rh 2.43-2.53
Ge 0.6230 0.1789 0.9350  3 Rh 2.43-2.53
Rh 0.0991 0.9485 0.3093  3 Ge 2.43-2.53
Rh 0.5991 0.5515 0.1907  3 Ge 2.43-2.53
Rh 0.4009 0.4485 0.8093  3 Ge 2.43-2.53
Rh 0.9009 0.0515 0.6907  3 Ge 2.43-2.53

Summary:
Calculated formation energy (eV per atom): -0.915
Volume (Å³/f.u.): 66.1

***

What did the second record say?
A geometry-optimized MoIr2 structure, computed with PBE.

Lattice parameters (Å, degrees): 4.8166 4.4042 8.3885 90.00 90.00 90.00
With the nearest neighbours (Å) after each atom.
Atoms (fractional coordinates):
Mo 0.1695 0.2500 0.8415  10 Ir 2.71-2.82, 2 Mo 2.86
Mo 0.6695 0.2500 0.6585  10 Ir 2.71-2.82, 2 Mo 2.86
Mo 0.3305 0.7500 0.3415  10 Ir 2.71-2.82, 2 Mo 2.86
Mo 0.8305 0.7500 0.1585  10 Ir 2.71-2.82, 2 Mo 2.86
Ir 0.6658 0.2500 0.9948  5 Mo 2.71-2.82, 7 Ir 2.72-2.85
Ir 0.8402 0.7500 0.8293  5 Mo 2.72-2.76, 7 Ir 2.74-2.85
Ir 0.1658 0.2500 0.5052  5 Mo 2.71-2.82, 7 Ir 2.72-2.85
Ir 0.3342 0.7500 0.0052  5 Mo 2.71-2.82, 7 Ir 2.72-2.85
Ir 0.3402 0.7500 0.6707  5 Mo 2.72-2.76, 7 Ir 2.74-2.85
Ir 0.8342 0.7500 0.4948  5 Mo 2.71-2.82, 7 Ir 2.72-2.85
Ir 0.6598 0.2500 0.3293  5 Mo 2.72-2.76, 7 Ir 2.74-2.85
Ir 0.1598 0.2500 0.1707  5 Mo 2.72-2.76, 7 Ir 2.74-2.85

Summary:
Calculated formation energy (eV per atom): -0.339
Volume (Å³/f.u.): 44.5

***

What did the fourth record say?
A geometry-optimized LaGeRh structure, computed with PBE.

Lattice parameters (Å, degrees): 6.4031 6.1747 6.9832 106.66 90.00 90.00
With the nearest neighbours (Å) after each atom.
Atoms (fractional coordinates):
La 0.3622 0.8032 0.5873  3 Rh 2.90-3.15
La 0.1378 0.3032 0.0873  3 Rh 2.90-3.15
La 0.8622 0.6968 0.9127  3 Rh 2.90-3.15
La 0.6378 0.1968 0.4127  3 Rh 2.90-3.15
Ge 0.8770 0.6789 0.4350  3 Rh 2.43-2.53
Ge 0.3770 0.8211 0.0650  3 Rh 2.43-2.53
Ge 0.1230 0.3211 0.5650  3 Rh 2.43-2.53
Ge 0.6230 0.1789 0.9350  3 Rh 2.43-2.53
Rh 0.0991 0.9485 0.3093  3 Ge 2.43-2.53
Rh 0.5991 0.5515 0.1907  3 Ge 2.43-2.53
Rh 0.4009 0.4485 0.8093  3 Ge 2.43-2.53
Rh 0.9009 0.0515 0.6907  3 Ge 2.43-2.53

Summary:
Calculated formation energy (eV per atom): -0.915
Volume (Å³/f.u.): 66.1

***

> Which of these has the highest volume?

SnSI3

***

> Among the records above, which one has the lowest volume?

MoIr2